Compound: Li3Ac2PmTe6
Source: Alexandria
Functional: GGA-PBE
Structure: relaxed

The structure in POSCAR format:
```
Li3Ac2PmTe6
1.0
-0.8156 -1.7002 -4.1770
8.6704 0.1966 -1.7731
-0.3160 -8.2500 5.9338
Li Ac Pm Te
3 2 1 6
direct
0.5000 0.5000 0.0000
0.8493 0.1777 0.6987
0.1507 0.8223 0.3013
0.8320 0.6794 0.6639
0.1680 0.3206 0.3361
0.5000 0.0000 0.0000
0.3375 0.9487 0.6751
0.6613 0.5893 0.3226
0.6625 0.0513 0.3249
0.9984 0.2515 0.9968
0.0016 0.7485 0.0032
0.3387 0.4108 0.6774
```

Properties
- Raw formation energy: -1326 meV/atom
- Crystal system: monoclinic
- Total energy: -4.456 eV per atom
- Total magnetic moment: 0.0 μB per formula unit